# NpHgPt2 PBE-GGA relaxed
# Energy of formation ... -84 kJ/mol of formula units
# Offset from the most stable computed form ... 51 meV per atom
# Final energy ... -6.550 eV per atom
# Spin magnetization ... 0.75 μB/atom
data_NpHgPt2
_cell_length_a 4.0145
_cell_length_b 4.0145
_cell_length_c 19.3652
_cell_angle_alpha 90.00
_cell_angle_beta 90.00
_cell_angle_gamma 120.00
_symmetry_space_group_name_H-M 'R -3 m'
_symmetry_Int_Tables_number 166
_symmetry_space_group_name_Hall '-R 3 2"'
loop_
_atom_site_label
_atom_site_fract_x
_atom_site_fract_y
_atom_site_fract_z
_atom_site_occupancy
Np1 0.0000 0.0000 0.0000 1
Hg1 0.0000 0.0000 0.5000 1
Pt1 0.0000 0.0000 0.2539 1